# 1
10
Lattice="3.706 0.000 0.000 0.000 3.706 0.000 0.000 0.000 20.198" Properties=species:S:1:pos:R:3 comment="Pm5ZnIn4 | the Open Quantum Materials Database | PBE | relaxed" total_energy_ev_per_atom=-4.0610 pbc="T T T"
Pm 0.000 0.000 0.000
Pm 0.000 0.000 4.176
Pm 0.000 0.000 8.331
Pm 0.000 0.000 11.868
Pm 0.000 0.000 16.023
Zn 1.853 1.853 10.099
In 1.853 1.853 2.096
In 1.853 1.853 6.273
In 1.853 1.853 13.926
In 1.853 1.853 18.103


# 2
4
Lattice="0.000 3.193 3.193 3.193 0.000 3.193 3.193 3.193 0.000" Properties=species:S:1:pos:R:3 comment="CdAgOs2 | the Open Quantum Materials Database | PBE | relaxed" delta_e_f_ev_per_fu=3.11 total_energy_ev_per_atom=-5.7656 pbc="T T T"
Cd 0.000 0.000 0.000
Ag 1.597 1.597 1.597
Os 3.193 3.193 3.193
Os 4.790 4.790 4.790


# 3
4
Lattice="0.000 3.544 3.544 3.544 0.000 3.544 3.544 3.544 0.000" Properties=species:S:1:pos:R:3 comment="Y2SiAu | the Open Quantum Materials Database | PBE | relaxed" total_energy_ev_per_atom=-5.4318 pbc="T T T"
Y 0.000 0.000 0.000
Y 1.772 1.772 1.772
Si 3.544 3.544 3.544
Au 5.316 5.316 5.316


# 4
6
Lattice="0.000 3.719 3.719 3.719 0.000 3.719 3.719 3.719 0.000" Properties=species:S:1:pos:R:3 comment="Ta2Fe | the Open Quantum Materials Database | PBE | relaxed" delta_e_f_ev_per_fu=2.08 total_energy_ev_per_atom=-9.9778 pbc="T T T"
Ta 0.000 0.000 0.000
Ta 1.859 1.859 0.000
Ta 1.859 0.000 1.859
Ta 0.000 1.859 1.859
Fe 2.789 2.789 2.789
Fe 4.649 4.649 4.649


# 5
9
Lattice="4.058 0.000 0.000 0.000 6.567 3.772 0.000 -6.567 3.772" Properties=species:S:1:pos:R:3 comment="NdDy2Sn3Pd3 | the Open Quantum Materials Database | PBE | relaxed" total_energy_ev_per_atom=-5.5411 pbc="T T T"
Nd 0.000 0.000 0.000
Dy 0.000 -2.687 4.640
Dy 0.000 2.687 4.640
Sn 2.029 -1.685 2.147
Sn 2.029 1.685 2.147
Sn 2.029 0.000 5.024
Pd 0.000 0.000 3.135
Pd 2.029 -4.329 3.089
Pd 2.029 4.329 3.089


# 6
9
Lattice="3.989 0.000 0.000 0.000 3.989 0.000 0.000 0.000 7.201" Properties=species:S:1:pos:R:3 comment="La2Ir2O5 | the Open Quantum Materials Database | PBE | relaxed" polymorph_energy_ev_per_atom=0.000 total_energy_ev_per_atom=-7.6674 pbc="T T T"
La 0.000 0.000 0.000
La 0.000 0.000 3.601
Ir 1.994 1.994 1.373
Ir 1.994 1.994 5.828
O 0.000 1.994 1.767
O 0.000 1.994 5.434
O 1.994 0.000 1.767
O 1.994 0.000 5.434
O 1.994 1.994 3.601


# 7
18
Lattice="3.126 -4.866 0.000 3.126 4.866 0.000 0.000 0.000 11.809" Properties=species:S:1:pos:R:3 comment="Rb3Pt2O4 | the Open Quantum Materials Database | PBE | relaxed" total_energy_ev_per_atom=-4.9051 pbc="T T T"
Rb 3.126 3.411 6.742
Rb 3.126 3.411 10.971
Rb 3.126 2.746 2.952
Rb 3.126 -2.746 8.856
Rb 3.126 -3.411 0.838
Rb 3.126 -3.411 5.067
Pt 3.126 0.728 8.856
Pt 3.126 0.000 0.000
Pt 3.126 0.000 5.904
Pt 3.126 -0.728 2.952
O 1.848 0.760 7.274
O 1.848 0.760 10.439
O 1.848 -0.760 1.370
O 1.848 -0.760 4.534
O 4.405 0.760 7.274
O 4.405 0.760 10.439
O 4.405 -0.760 1.370
O 4.405 -0.760 4.534


# 8
8
Lattice="4.231 0.000 0.000 0.000 6.231 0.000 0.000 0.000 6.568" Properties=species:S:1:pos:R:3 comment="DyAuSeO | the Open Quantum Materials Database | PBE | relaxed" polymorph_energy_ev_per_atom=0.477 total_energy_ev_per_atom=-5.5152 pbc="T T T"
Dy 0.000 1.215 0.000
Dy 0.000 5.016 3.284
Au 2.116 1.645 4.248
Au 2.116 4.586 0.964
Se 2.116 2.175 1.660
Se 2.116 4.057 4.943
O 0.000 0.443 4.566
O 0.000 5.788 1.282